First-principles (PBE) data for an optimized crystal structure of Tb3Mg2Ir3, as listed in Alexandria via LeMat-Bulk.

Properties
**D(E_F)**: 0.413 states/eV/atom
**Calculated total energy**: -97.6 eV for the cell shown
**Formation enthalpy at 0 K**: -0.65 eV/atom

a b c (Å): 8.2470 8.2470 5.7690
angles (deg): 90.00 90.00 120.00
Space group P6_3/mcm (No. 193)
Inequivalent atoms, fractional coordinates:
Tb  0.0000  0.2729  0.2500
Mg  0.3333  0.6667  0.0000
Ir  0.0000  0.3880  0.7500

First-principles (PBE) data for an optimized crystal structure of Tb7Mg2Ir2, as listed in Alexandria via LeMat-Bulk.

Properties
**D(E_F)**: 1.058 states/eV/atom
**Calculated total energy**: -112.9 eV for the cell shown
**Formation enthalpy at 0 K**: -0.28 eV/atom

a b c (Å): 8.249 10.976 7.240
angles (deg): 90.00 90.00 90.00
Space group Cmmm (No. 65)
Inequivalent atoms, fractional coordinates:
Tb  0.000  0.000  0.000
Tb  0.000  0.500  0.238
Tb  0.250  0.250  0.245
Mg  0.173  0.000  0.500
Ir  0.000  0.285  0.000

First-principles (PBE) data for an optimized crystal structure of TbMgIr2, as listed in Alexandria via LeMat-Bulk.

Properties
**D(E_F)**: 0.125 states/eV/atom
**Calculated total energy**: -26.1 eV for the cell shown
**Formation enthalpy at 0 K**: -0.54 eV/atom

a b c (Å): 3.328 3.328 6.433
angles (deg): 90.00 90.00 90.00
Space group P4/mmm (No. 123)
Inequivalent atoms, fractional coordinates:
Tb  0.000  0.000  0.000
Mg  0.000  0.000  0.500
Ir  0.500  0.500  0.272

- What is the formula in the first record?
  Tb3Mg2Ir3

Please write out number 1 again, unchanged.
First-principles (PBE) data for an optimized crystal structure of Tb3Mg2Ir3, as listed in Alexandria via LeMat-Bulk.

Properties
**D(E_F)**: 0.413 states/eV/atom
**Calculated total energy**: -97.6 eV for the cell shown
**Formation enthalpy at 0 K**: -0.65 eV/atom

a b c (Å): 8.2470 8.2470 5.7690
angles (deg): 90.00 90.00 120.00
Space group P6_3/mcm (No. 193)
Inequivalent atoms, fractional coordinates:
Tb  0.0000  0.2729  0.2500
Mg  0.3333  0.6667  0.0000
Ir  0.0000  0.3880  0.7500